Record 1
The following is a DFT calculation (PBE-GGA) of an optimized crystal structure of BaInSnPd2.

Geometry as POSCAR:
```
BaInSnPd2
1.0
-0.407 -3.797 2.880
3.422 1.779 2.829
-7.584 5.262 5.867
Pd In Ba Sn
4 2 2 2
direct
0.000 0.500 0.634
0.000 0.000 0.000
0.500 0.500 0.000
0.500 0.000 0.366
0.500 0.500 0.500
0.000 0.000 0.500
0.500 0.000 0.757
0.000 0.500 0.243
0.500 0.000 0.117
0.000 0.500 0.883
```

Computed properties:
Total DFT energy (no corrections) in eV/cell: -44.74
Energy relative to the lowest polymorph listed for this composition in meV per atom: 0


Record 2
The following is a DFT calculation (PBE-GGA) of an optimized crystal structure of BaInSnPd2.

Geometry as POSCAR:
```
BaInSnPd2
1.0
4.822 0.000 0.000
0.000 4.822 0.000
0.000 0.000 10.790
Sn In Pd Ba
2 2 4 2
direct
0.000 0.000 0.500
0.500 0.500 0.500
0.000 0.500 0.881
0.500 0.000 0.119
0.000 0.500 0.625
0.000 0.000 0.000
0.500 0.000 0.375
0.500 0.500 0.000
0.000 0.500 0.242
0.500 0.000 0.758
```

Computed properties:
Total DFT energy (no corrections) in eV/cell: -44.50
Energy relative to the lowest polymorph listed for this composition in meV per atom: 24


What is the formula in the second record?
BaInSnPd2